The following is a GGA-PBE calculation of a geometry-optimized ErPuSc2 structure, from Alexandria via LeMat-Bulk.

- crystal system = trigonal
- energy relative to the lowest polymorph listed for this composition (eV/f.u.) = 0.00
- E (eV/atom) = -7.80
- magnetization (μB/atom) = 1.3359
- symmetry = R3m

Lattice parameters (Å, degrees): 3.3570 3.3570 32.2414 90.00 90.00 120.00
Sites, in units of the cell vectors:
1 Er 0.0000 0.0000 0.0000
2 Er 0.3333 0.6667 0.6667
3 Er 0.6667 0.3333 0.3333
4 Pu 0.0000 0.0000 0.8342
5 Pu 0.3333 0.6667 0.5008
6 Pu 0.6667 0.3333 0.1675
7 Sc 0.0000 0.0000 0.2488
8 Sc 0.0000 0.0000 0.4187
9 Sc 0.3333 0.6667 0.0854
10 Sc 0.3333 0.6667 0.9154
11 Sc 0.6667 0.3333 0.5821
12 Sc 0.6667 0.3333 0.7521



The following is a GGA-PBE calculation of a geometry-optimized K2NaNpO5 structure, from Alexandria via LeMat-Bulk.

- crystal system = orthorhombic
- ΔE_f (raw) (eV/atom) = -2.19
- E (eV/atom) = -6.77
- magnetization (μB/atom) = 0.0000
- symmetry = Immm

Lattice parameters (Å, degrees): 7.3271 7.3271 7.3271 145.88 131.49 60.63
Sites, in units of the cell vectors:
1 K 0.2226 0.2226 0.0000
2 K 0.7774 0.7774 0.0000
3 Na 0.5000 0.0000 0.5000
4 Np 0.0000 0.5000 0.5000
5 O 0.0000 0.0000 0.0000
6 O 0.1179 0.3890 0.7289
7 O 0.3399 0.6110 0.7289
8 O 0.6601 0.3890 0.2711
9 O 0.8821 0.6110 0.2711



The following is a GGA-PBE calculation of a geometry-optimized TbPr2Sn3Pd4 structure, from Alexandria via LeMat-Bulk.

- crystal system = tetragonal
- E (eV/atom) = -5.51
- magnetization (μB/atom) = 0.0000
- symmetry = P-4m2

Lattice parameters (Å, degrees): 4.6054 4.6054 11.1537 90.00 90.00 90.00
Sites, in units of the cell vectors:
1 Tb 0.0000 0.0000 0.0000
2 Pr 0.0000 0.5000 0.7220
3 Pr 0.5000 0.0000 0.2780
4 Sn 0.0000 0.5000 0.3760
5 Sn 0.5000 0.0000 0.6240
6 Sn 0.5000 0.5000 0.0000
7 Pd 0.0000 0.0000 0.5000
8 Pd 0.0000 0.5000 0.1431
9 Pd 0.5000 0.0000 0.8569
10 Pd 0.5000 0.5000 0.5000



The following is a GGA-PBE calculation of a geometry-optimized Er6BiTe3 structure, from Alexandria via LeMat-Bulk.

- crystal system = monoclinic
- ΔE_f (raw) (eV/atom) = -0.84
- E (eV/atom) = -4.91
- magnetization (μB/atom) = 0.0000
- symmetry = P2_1/m

Lattice parameters (Å, degrees): 12.1215 4.0891 12.4556 90.00 105.14 90.00
Sites, in units of the cell vectors:
1 Er 0.0151 0.2500 0.3536
2 Er 0.0771 0.2500 0.8808
3 Er 0.2491 0.7500 0.3012
4 Er 0.2856 0.7500 0.7690
5 Er 0.3772 0.2500 0.5430
6 Er 0.4618 0.7500 0.1247
7 Er 0.5382 0.2500 0.8753
8 Er 0.6228 0.7500 0.4570
9 Er 0.7144 0.2500 0.2310
10 Er 0.7509 0.2500 0.6988
11 Er 0.9229 0.7500 0.1192
12 Er 0.9849 0.7500 0.6464
13 Bi 0.4510 0.2500 0.3135
14 Bi 0.5490 0.7500 0.6865
15 Te 0.1123 0.2500 0.1393
16 Te 0.1736 0.7500 0.5163
17 Te 0.3328 0.2500 0.9621
18 Te 0.6672 0.7500 0.0379
19 Te 0.8264 0.2500 0.4837
20 Te 0.8877 0.7500 0.8607



The following is a GGA-PBE calculation of a geometry-optimized HfTa3Tl structure, from Alexandria via LeMat-Bulk.

- crystal system = cubic
- energy relative to the lowest polymorph listed for this composition (eV/f.u.) = 1.54
- E (eV/atom) = -7.43
- magnetization (μB/atom) = 0.0000
- symmetry = Pm-3m

Lattice parameters (Å, degrees): 5.0476 5.0476 5.0476 90.00 90.00 90.00
Sites, in units of the cell vectors:
1 Hf 0.0000 0.0000 0.0000
2 Ta 0.0000 0.5000 0.5000
3 Ta 0.5000 0.0000 0.5000
4 Ta 0.5000 0.5000 0.0000
5 Tl 0.5000 0.5000 0.5000



The following is a GGA-PBE calculation of a geometry-optimized AlCu structure, from Alexandria via LeMat-Bulk.

- crystal system = trigonal
- E (eV/atom) = -4.04
- magnetization (μB/atom) = 0.0000
- symmetry = R-3m

Lattice parameters (Å, degrees): 2.7716 2.7716 12.4034 90.00 90.00 120.00
Sites, in units of the cell vectors:
1 Al 0.0000 0.0000 0.0000
2 Al 0.3333 0.6667 0.6667
3 Al 0.6667 0.3333 0.3333
4 Cu 0.0000 0.0000 0.5000
5 Cu 0.3333 0.6667 0.1667
6 Cu 0.6667 0.3333 0.8333



The following is a GGA-PBE calculation of a geometry-optimized Zr2PRu structure, from Alexandria via LeMat-Bulk.

- crystal system = trigonal
- E (eV/atom) = -8.61
- magnetization (μB/atom) = 0.0000
- symmetry = R-3m

Lattice parameters (Å, degrees): 3.4689 3.4689 21.6112 90.00 90.00 120.00
Sites, in units of the cell vectors:
1 Zr 0.0000 0.0000 0.2439
2 Zr 0.0000 0.0000 0.7561
3 Zr 0.3333 0.6667 0.4228
4 Zr 0.3333 0.6667 0.9106
5 Zr 0.6667 0.3333 0.0894
6 Zr 0.6667 0.3333 0.5772
7 P 0.0000 0.0000 0.5000
8 P 0.3333 0.6667 0.1667
9 P 0.6667 0.3333 0.8333
10 Ru 0.0000 0.0000 0.0000
11 Ru 0.3333 0.6667 0.6667
12 Ru 0.6667 0.3333 0.3333



The following is a GGA-PBE calculation of a geometry-optimized Ce2HoIn2Hg2 structure, from Alexandria via LeMat-Bulk.

- crystal system = trigonal
- E (eV/atom) = -3.43
- magnetization (μB/atom) = 0.3273
- symmetry = R-3m

Lattice parameters (Å, degrees): 9.4804 9.4804 9.4804 29.46 29.46 29.46
Sites, in units of the cell vectors:
1 Ce 0.1425 0.1425 0.1425
2 Ce 0.8575 0.8575 0.8575
3 Ho 0.0000 0.0000 0.0000
4 In 0.2733 0.2733 0.2733
5 In 0.7267 0.7267 0.7267
6 Hg 0.4211 0.4211 0.4211
7 Hg 0.5789 0.5789 0.5789



The following is a GGA-PBE calculation of a geometry-optimized CuTcCl2 structure, from Alexandria via LeMat-Bulk.

- crystal system = cubic
- energy relative to the lowest polymorph listed for this composition (eV/f.u.) = 2.64
- ΔE_f (raw) (eV/atom) = 0.66
- E (eV/atom) = -3.88
- magnetization (μB/atom) = 0.0079
- symmetry = Fm-3m

Lattice parameters (Å, degrees): 6.2357 6.2357 6.2357 90.00 90.00 90.00
Sites, in units of the cell vectors:
1 Cu 0.0000 0.0000 0.0000
2 Cu 0.0000 0.5000 0.5000
3 Cu 0.5000 0.0000 0.5000
4 Cu 0.5000 0.5000 0.0000
5 Tc 0.0000 0.0000 0.5000
6 Tc 0.0000 0.5000 0.0000
7 Tc 0.5000 0.0000 0.0000
8 Tc 0.5000 0.5000 0.5000
9 Cl 0.2500 0.2500 0.2500
10 Cl 0.2500 0.2500 0.7500
11 Cl 0.2500 0.7500 0.2500
12 Cl 0.2500 0.7500 0.7500
13 Cl 0.7500 0.2500 0.2500
14 Cl 0.7500 0.2500 0.7500
15 Cl 0.7500 0.7500 0.2500
16 Cl 0.7500 0.7500 0.7500



The following is a GGA-PBE calculation of a geometry-optimized Ba2SnH6Ru structure, from Alexandria via LeMat-Bulk.

- crystal system = trigonal
- E (eV/atom) = -4.04
- magnetization (μB/atom) = 0.1937
- symmetry = P-3m1

Lattice parameters (Å, degrees): 5.4698 5.4698 6.5945 90.00 90.00 120.00
Sites, in units of the cell vectors:
1 Ba 0.3333 0.6667 0.2954
2 Ba 0.6667 0.3333 0.7046
3 Sn 0.0000 0.0000 0.0000
4 H 0.1539 0.3078 0.6407
5 H 0.1539 0.8461 0.6407
6 H 0.3078 0.1539 0.3593
7 H 0.6922 0.8461 0.6407
8 H 0.8461 0.1539 0.3593
9 H 0.8461 0.6922 0.3593
10 Ru 0.0000 0.0000 0.5000



The following is a GGA-PBE calculation of a geometry-optimized MgAg3Mo structure, from Alexandria via LeMat-Bulk.

- crystal system = cubic
- energy relative to the lowest polymorph listed for this composition (eV/f.u.) = 0.00
- E (eV/atom) = -2.88
- magnetization (μB/atom) = 0.0000
- symmetry = Pm-3m

Lattice parameters (Å, degrees): 4.6685 4.6685 4.6685 90.00 90.00 90.00
Sites, in units of the cell vectors:
1 Mg 0.0000 0.0000 0.0000
2 Ag 0.0000 0.0000 0.5000
3 Ag 0.0000 0.5000 0.0000
4 Ag 0.5000 0.0000 0.0000
5 Mo 0.5000 0.5000 0.5000



The following is a GGA-PBE calculation of a geometry-optimized Ta2NiGe2 structure, from Alexandria via LeMat-Bulk.

- crystal system = tetragonal
- E (eV/atom) = -7.88
- magnetization (μB/atom) = 0.0000
- symmetry = P4/mbm

Lattice parameters (Å, degrees): 6.2025 6.2025 4.0295 90.00 90.00 90.00
Sites, in units of the cell vectors:
1 Ta 0.1718 0.3282 0.0000
2 Ta 0.3282 0.8282 0.0000
3 Ta 0.6718 0.1718 0.0000
4 Ta 0.8282 0.6718 0.0000
5 Ni 0.0000 0.0000 0.5000
6 Ni 0.5000 0.5000 0.5000
7 Ge 0.1400 0.6400 0.5000
8 Ge 0.3600 0.1400 0.5000
9 Ge 0.6400 0.8600 0.5000
10 Ge 0.8600 0.3600 0.5000



Repeat the eleventh record exactly.
The following is a GGA-PBE calculation of a geometry-optimized MgAg3Mo structure, from Alexandria via LeMat-Bulk.

- crystal system = cubic
- energy relative to the lowest polymorph listed for this composition (eV/f.u.) = 0.00
- E (eV/atom) = -2.88
- magnetization (μB/atom) = 0.0000
- symmetry = Pm-3m

Lattice parameters (Å, degrees): 4.6685 4.6685 4.6685 90.00 90.00 90.00
Sites, in units of the cell vectors:
1 Mg 0.0000 0.0000 0.0000
2 Ag 0.0000 0.0000 0.5000
3 Ag 0.0000 0.5000 0.0000
4 Ag 0.5000 0.0000 0.0000
5 Mo 0.5000 0.5000 0.5000